Model 1:
First-principles (GGA-PBE) data for a relaxed GeSbPO2 crystal, as listed in the Alexandria database.

a b c (Å): 3.9674 3.9674 5.2308
angles (deg): 90.00 90.00 90.00
Last column: nearest neighbours and their distance in Å.
Space group P4/mmm (No. 123)
Asymmetric unit:
Ge: 0.0000 0.0000 0.0000 [1 per cell]  4 P 2.81
Sb: 0.5000 0.5000 0.5000 [1 per cell]  4 O 1.98
P: 0.5000 0.5000 0.0000 [1 per cell]  2 Sb 2.62, 4 Ge 2.81
O: 0.0000 0.5000 0.5000 [2 per cell]  2 Sb 1.98

Model 2:
First-principles (GGA-PBE) data for a relaxed GeSbPO2 crystal, as listed in the Alexandria database.

a b c (Å): 3.8589 3.8589 4.8557
angles (deg): 90.00 90.00 90.00
Last column: nearest neighbours and their distance in Å.
Space group P4/mmm (No. 123)
Asymmetric unit:
Ge: 0.0000 0.0000 0.0000 [1 per cell]  4 O 1.93
Sb: 0.5000 0.5000 0.5000 [1 per cell]  4 P 2.73
P: 0.0000 0.0000 0.5000 [1 per cell]  2 Ge 2.43
O: 0.0000 0.5000 0.0000 [2 per cell]  2 Ge 1.93

Pick model 2: it beats the second-best structure by 0.084 eV/atom.

Model 1:
First-principles (GGA-PBE) data for a relaxed GeSbP2O crystal, as listed in the Alexandria database.

a b c (Å): 4.8993 4.8993 3.6538
angles (deg): 90.00 90.00 90.00
Last column: nearest neighbours and their distance in Å.
Space group P4/mmm (No. 123)
Asymmetric unit:
Ge: 0.0000 0.0000 0.0000 [1 per cell]  2 O 1.83
Sb: 0.5000 0.5000 0.5000 [1 per cell]  8 P 3.06
P: 0.0000 0.5000 0.0000 [2 per cell]  2 Ge 2.45
O: 0.0000 0.0000 0.5000 [1 per cell]  2 Ge 1.83

Model 2:
First-principles (GGA-PBE) data for a relaxed GeSbP2O crystal, as listed in the Alexandria database.

a b c (Å): 5.1050 5.1050 3.9049
angles (deg): 90.00 90.00 90.00
Last column: nearest neighbours and their distance in Å.
Space group P4/mmm (No. 123)
Asymmetric unit:
Ge: 0.0000 0.0000 0.0000 [1 per cell]  8 P 3.21
Sb: 0.5000 0.5000 0.5000 [1 per cell]  2 O 1.95
P: 0.0000 0.5000 0.5000 [2 per cell]  2 Sb 2.55
O: 0.5000 0.5000 0.0000 [1 per cell]  2 Sb 1.95

Pick model 1: it beats the second-best structure by 0.308 eV/atom.

Model 1:
First-principles (GGA-PBE) data for a relaxed ScGeP2O crystal, as listed in the Alexandria database.

a b c (Å): 4.8624 4.8624 3.6163
angles (deg): 90.00 90.00 90.00
Last column: nearest neighbours and their distance in Å.
Space group P4/mmm (No. 123)
Asymmetric unit:
Sc: 0.0000 0.0000 0.0000 [1 per cell]  8 P 3.03
Ge: 0.5000 0.5000 0.5000 [1 per cell]  2 O 1.81
P: 0.0000 0.5000 0.5000 [2 per cell]  2 Ge 2.43
O: 0.5000 0.5000 0.0000 [1 per cell]  2 Ge 1.81

Model 2:
First-principles (GGA-PBE) data for a relaxed ScGeP2O crystal, as listed in the Alexandria database.

a b c (Å): 5.1336 5.1336 3.8493
angles (deg): 90.00 90.00 90.00
Last column: nearest neighbours and their distance in Å.
Space group P4/mmm (No. 123)
Asymmetric unit:
Sc: 0.0000 0.0000 0.0000 [1 per cell]  2 O 1.92
Ge: 0.5000 0.5000 0.5000 [1 per cell]  8 P 3.21
P: 0.0000 0.5000 0.0000 [2 per cell]  2 Sc 2.57
O: 0.0000 0.0000 0.5000 [1 per cell]  2 Sc 1.92

Pick model 1: it beats the second-best structure by 0.058 eV/atom.

Model 1:
First-principles (GGA-PBE) data for a relaxed ScGePO2 crystal, as listed in the Alexandria database.

a b c (Å): 3.7565 3.7565 4.9423
angles (deg): 90.00 90.00 90.00
Last column: nearest neighbours and their distance in Å.
Space group P4/mmm (No. 123)
Asymmetric unit:
Sc: 0.0000 0.0000 0.0000 [1 per cell]  4 P 2.66
Ge: 0.5000 0.5000 0.5000 [1 per cell]  4 O 1.88
P: 0.5000 0.5000 0.0000 [1 per cell]  2 Ge 2.47, 4 Sc 2.66
O: 0.0000 0.5000 0.5000 [2 per cell]  2 Ge 1.88

Model 2:
First-principles (GGA-PBE) data for a relaxed ScGePO2 crystal, as listed in the Alexandria database.

a b c (Å): 3.9511 3.9511 5.5360
angles (deg): 90.00 90.00 90.00
Last column: nearest neighbours and their distance in Å.
Space group P4/mmm (No. 123)
Asymmetric unit:
Sc: 0.0000 0.0000 0.0000 [1 per cell]  4 O 1.98
Ge: 0.5000 0.5000 0.5000 [1 per cell]  4 P 2.79
P: 0.0000 0.0000 0.5000 [1 per cell]  2 Sc 2.77, 4 Ge 2.79
O: 0.0000 0.5000 0.0000 [2 per cell]  2 Sc 1.98

Pick model 1: it beats the second-best structure by 0.111 eV/atom.